## i
Compound: BaMo2Pt
Source: the Alexandria database
Functional: GGA-PBE
Structure: relaxed

Lattice parameters (Å, degrees): 4.8716 4.8716 3.2325 90.00 90.00 90.00
With the nearest neighbours (Å) after each atom.
Sites, in units of the cell vectors:
Ba1 0.0000 0.0000 0.0000  8 Mo 2.92, 2 Ba 3.23
Mo1 0.0000 0.5000 0.5000  4 Ba 2.92, 4 Pt 2.92, 2 Mo 3.23
Mo2 0.5000 0.0000 0.5000  4 Ba 2.92, 4 Pt 2.92, 2 Mo 3.23
Pt1 0.5000 0.5000 0.0000  8 Mo 2.92, 2 Pt 3.23

## Properties
Magnetization   0.0 μB per formula unit
DOS at the Fermi energy   1.527 states/eV/atom
V   19.18 Å³/atom

## ii
Compound: BaMo2Pt
Source: the Alexandria database
Functional: GGA-PBE
Structure: relaxed

Lattice parameters (Å, degrees): 2.9557 5.1877 5.2770 90.00 90.00 90.00
With the nearest neighbours (Å) after each atom.
Sites, in units of the cell vectors:
Ba1 0.0000 0.0000 0.0000  2 Ba 2.96, 4 Pt 2.99, 4 Mo 3.02
Mo1 0.0000 0.5000 0.5000  6 Mo 2.96-2.99, 4 Pt 3.02
Mo2 0.5000 0.0000 0.5000  6 Mo 2.96-2.99, 4 Ba 3.02
Pt1 0.5000 0.5000 0.0000  2 Pt 2.96, 4 Ba 2.99, 4 Mo 3.02

## Properties
Magnetization   0.0 μB per formula unit
DOS at the Fermi energy   1.013 states/eV/atom
V   20.23 Å³/atom

Which structure above is the least stable? It is i.